Compound: Sm4Ga3Ge
Source: Alexandria via LeMat-Bulk
Functional: PBE
Structure: relaxed

Values from the calculation:
Magnetic moment = 0.6 μB/f.u.
E_form = -0.69 eV/atom
Electronic total energy = -0.1750 Ha/atom
Density of states at the Fermi level = 6.98 states/eV/f.u.

Cell and atoms, written as CIF:
```
data_Sm4Ga3Ge
_cell_length_a 4.087
_cell_length_b 4.444
_cell_length_c 11.139
_cell_angle_alpha 90.00
_cell_angle_beta 90.00
_cell_angle_gamma 90.00
_space_group_name_H-M_alt 'P m m 2'
_space_group_IT_number 25
_space_group_name_Hall 'P 2 -2'
loop_
_atom_site_label
_atom_site_fract_x
_atom_site_fract_y
_atom_site_fract_z
Sm1 0.000 0.000 0.000
Sm2 0.000 0.500 0.499
Sm3 0.500 0.000 0.279
Sm4 0.500 0.500 0.780
Ga1 0.000 0.000 0.716
Ga2 0.000 0.500 0.213
Ga3 0.500 0.000 0.565
Ge1 0.500 0.500 0.063
```

***

Compound: Sm4GaGe2
Source: Alexandria via LeMat-Bulk
Functional: PBE
Structure: relaxed

Values from the calculation:
Magnetic moment = 0.0 μB/f.u.
E_form = -0.55 eV/atom
Electronic total energy = -0.1838 Ha/atom
Density of states at the Fermi level = 6.66 states/eV/f.u.

Cell and atoms, written as CIF:
```
data_Sm4GaGe2
_cell_length_a 4.7602
_cell_length_b 4.7602
_cell_length_c 30.5602
_cell_angle_alpha 90.00
_cell_angle_beta 90.00
_cell_angle_gamma 120.00
_space_group_name_H-M_alt 'R -3 m'
_space_group_IT_number 166
_space_group_name_Hall '-R 3 2"'
loop_
_atom_site_label
_atom_site_fract_x
_atom_site_fract_y
_atom_site_fract_z
Sm1 0.0000 0.0000 0.1211
Sm2 0.0000 0.0000 0.2960
Ga1 0.0000 0.0000 0.5000
Ge1 0.0000 0.0000 0.4036
```

***

Compound: SmGa4Ge
Source: Alexandria via LeMat-Bulk
Functional: PBE
Structure: relaxed

Values from the calculation:
Magnetic moment = 0.0 μB/f.u.
E_form = -0.21 eV/atom
Electronic total energy = -0.1389 Ha/atom
Density of states at the Fermi level = 2.50 states/eV/f.u.

Cell and atoms, written as CIF:
```
data_SmGa4Ge
_cell_length_a 7.820
_cell_length_b 7.820
_cell_length_c 7.820
_cell_angle_alpha 90.00
_cell_angle_beta 90.00
_cell_angle_gamma 90.00
_space_group_name_H-M_alt 'F -4 3 m'
_space_group_IT_number 216
_space_group_name_Hall 'F -4 2 3'
loop_
_atom_site_label
_atom_site_fract_x
_atom_site_fract_y
_atom_site_fract_z
Sm1 0.000 0.000 0.000
Ga1 0.124 0.124 0.376
Ge1 0.250 0.250 0.750
```

***

Compound: Sm3Ga2Ge2
Source: Alexandria via LeMat-Bulk
Functional: PBE
Structure: relaxed

Values from the calculation:
Magnetic moment = 0.0 μB/f.u.
E_form = -0.75 eV/atom
Electronic total energy = -0.1821 Ha/atom
Density of states at the Fermi level = 3.88 states/eV/f.u.

Cell and atoms, written as CIF:
```
data_Sm3Ga2Ge2
_cell_length_a 10.939
_cell_length_b 4.327
_cell_length_c 7.581
_cell_angle_alpha 90.00
_cell_angle_beta 113.23
_cell_angle_gamma 90.00
_space_group_name_H-M_alt 'C 1 2/m 1'
_space_group_IT_number 12
_space_group_name_Hall '-C 2y'
loop_
_atom_site_label
_atom_site_fract_x
_atom_site_fract_y
_atom_site_fract_z
Sm1 0.000 0.000 0.000
Sm2 0.176 0.000 0.629
Ga1 0.192 0.500 0.929
Ge1 0.036 0.500 0.336
```

***

Compound: Sm2GaGe
Source: Alexandria via LeMat-Bulk
Functional: PBE
Structure: relaxed

Values from the calculation:
Magnetic moment = 0.0 μB/f.u.
E_form = -0.50 eV/atom
Electronic total energy = -0.1754 Ha/atom
Density of states at the Fermi level = 3.76 states/eV/f.u.

Cell and atoms, written as CIF:
```
data_Sm2GaGe
_cell_length_a 3.9727
_cell_length_b 3.9727
_cell_length_c 23.8843
_cell_angle_alpha 90.00
_cell_angle_beta 90.00
_cell_angle_gamma 120.00
_space_group_name_H-M_alt 'R -3 m'
_space_group_IT_number 166
_space_group_name_Hall '-R 3 2"'
loop_
_atom_site_label
_atom_site_fract_x
_atom_site_fract_y
_atom_site_fract_z
Sm1 0.0000 0.0000 0.2452
Ga1 0.0000 0.0000 0.0000
Ge1 0.0000 0.0000 0.5000
```

***

Compound: Sm2GaGe
Source: Alexandria via LeMat-Bulk
Functional: PBE
Structure: relaxed

Values from the calculation:
Magnetic moment = 0.0 μB/f.u.
E_form = -0.77 eV/atom
Electronic total energy = -0.1854 Ha/atom
Density of states at the Fermi level = 3.83 states/eV/f.u.

Cell and atoms, written as CIF:
```
data_Sm2GaGe
_cell_length_a 5.960
_cell_length_b 4.073
_cell_length_c 8.648
_cell_angle_alpha 90.00
_cell_angle_beta 107.96
_cell_angle_gamma 90.00
_space_group_name_H-M_alt 'P 1 21/m 1'
_space_group_IT_number 11
_space_group_name_Hall '-P 2yb'
loop_
_atom_site_label
_atom_site_fract_x
_atom_site_fract_y
_atom_site_fract_z
Sm1 0.207 0.250 0.429
Sm2 0.288 0.750 0.069
Ga1 0.365 0.750 0.711
Ge1 0.137 0.250 0.789
```

***

Compound: Sm3Ga2Ge
Source: Alexandria via LeMat-Bulk
Functional: PBE
Structure: relaxed

Values from the calculation:
Magnetic moment = 0.0 μB/f.u.
E_form = -0.62 eV/atom
Electronic total energy = -0.1750 Ha/atom
Density of states at the Fermi level = 4.91 states/eV/f.u.

Cell and atoms, written as CIF:
```
data_Sm3Ga2Ge
_cell_length_a 12.159
_cell_length_b 4.155
_cell_length_c 12.195
_cell_angle_alpha 90.00
_cell_angle_beta 90.00
_cell_angle_gamma 90.00
_space_group_name_H-M_alt 'P n m a'
_space_group_IT_number 62
_space_group_name_Hall '-P 2ac 2n'
loop_
_atom_site_label
_atom_site_fract_x
_atom_site_fract_y
_atom_site_fract_z
Sm1 0.060 0.250 0.122
Sm2 0.118 0.750 0.554
Sm3 0.209 0.250 0.792
Ga1 0.015 0.750 0.308
Ga2 0.188 0.750 0.994
Ge1 0.131 0.250 0.370
```

***

Compound: SmGa2Ge
Source: Alexandria via LeMat-Bulk
Functional: PBE
Structure: relaxed

Values from the calculation:
Magnetic moment = 0.0 μB/f.u.
E_form = -0.47 eV/atom
Electronic total energy = -0.1588 Ha/atom
Density of states at the Fermi level = 0.99 states/eV/f.u.

Cell and atoms, written as CIF:
```
data_SmGa2Ge
_cell_length_a 4.297
_cell_length_b 4.171
_cell_length_c 9.675
_cell_angle_alpha 90.00
_cell_angle_beta 92.61
_cell_angle_gamma 90.00
_space_group_name_H-M_alt 'P 1 21/m 1'
_space_group_IT_number 11
_space_group_name_Hall '-P 2yb'
loop_
_atom_site_label
_atom_site_fract_x
_atom_site_fract_y
_atom_site_fract_z
Sm1 0.021 0.250 0.198
Ga1 0.190 0.750 0.501
Ga2 0.428 0.750 0.059
Ge1 0.427 0.250 0.687
```

***

Compound: Sm2GaGe
Source: Alexandria via LeMat-Bulk
Functional: PBE
Structure: relaxed

Values from the calculation:
Magnetic moment = 0.0 μB/f.u.
E_form = -0.61 eV/atom
Electronic total energy = -0.1793 Ha/atom
Density of states at the Fermi level = 1.92 states/eV/f.u.

Cell and atoms, written as CIF:
```
data_Sm2GaGe
_cell_length_a 4.864
_cell_length_b 4.864
_cell_length_c 4.065
_cell_angle_alpha 90.00
_cell_angle_beta 90.00
_cell_angle_gamma 90.00
_space_group_name_H-M_alt 'P 4/m m m'
_space_group_IT_number 123
_space_group_name_Hall '-P 4 2'
loop_
_atom_site_label
_atom_site_fract_x
_atom_site_fract_y
_atom_site_fract_z
Sm1 0.000 0.500 0.000
Ga1 0.000 0.000 0.500
Ge1 0.500 0.500 0.500
```

***

Compound: Sm5Ga2Ge5
Source: Alexandria via LeMat-Bulk
Functional: PBE
Structure: relaxed

Values from the calculation:
Magnetic moment = 0.0 μB/f.u.
E_form = -0.73 eV/atom
Electronic total energy = -0.1884 Ha/atom
Density of states at the Fermi level = 4.96 states/eV/f.u.

Cell and atoms, written as CIF:
```
data_Sm5Ga2Ge5
_cell_length_a 15.040
_cell_length_b 4.185
_cell_length_c 11.639
_cell_angle_alpha 90.00
_cell_angle_beta 129.82
_cell_angle_gamma 90.00
_space_group_name_H-M_alt 'C 1 2/m 1'
_space_group_IT_number 12
_space_group_name_Hall '-C 2y'
loop_
_atom_site_label
_atom_site_fract_x
_atom_site_fract_y
_atom_site_fract_z
Sm1 0.000 0.000 0.000
Sm2 0.108 0.000 0.427
Sm3 0.202 0.000 0.833
Ga1 0.141 0.500 0.259
Ge1 0.000 0.500 0.500
Ge2 0.067 0.500 0.855
Ge3 0.242 0.500 0.682
```

***

Compound: Sm3Ga2Ge3
Source: Alexandria via LeMat-Bulk
Functional: PBE
Structure: relaxed

Values from the calculation:
Magnetic moment = 0.0 μB/f.u.
E_form = -0.67 eV/atom
Electronic total energy = -0.1810 Ha/atom
Density of states at the Fermi level = 3.94 states/eV/f.u.

Cell and atoms, written as CIF:
```
data_Sm3Ga2Ge3
_cell_length_a 4.230
_cell_length_b 11.166
_cell_length_c 15.372
_cell_angle_alpha 90.00
_cell_angle_beta 90.00
_cell_angle_gamma 90.00
_space_group_name_H-M_alt 'C m c m'
_space_group_IT_number 63
_space_group_name_Hall '-C 2c 2'
loop_
_atom_site_label
_atom_site_fract_x
_atom_site_fract_y
_atom_site_fract_z
Sm1 0.000 0.073 0.250
Sm2 0.000 0.364 0.099
Ga1 0.000 0.358 0.627
Ge1 0.000 0.095 0.044
Ge2 0.000 0.195 0.750
```

***

Compound: Sm3GaGe
Source: Alexandria via LeMat-Bulk
Functional: PBE
Structure: relaxed

Values from the calculation:
Magnetic moment = 0.0 μB/f.u.
E_form = -0.54 eV/atom
Electronic total energy = -0.1802 Ha/atom
Density of states at the Fermi level = 4.62 states/eV/f.u.

Cell and atoms, written as CIF:
```
data_Sm3GaGe
_cell_length_a 15.445
_cell_length_b 4.153
_cell_length_c 8.446
_cell_angle_alpha 90.00
_cell_angle_beta 93.15
_cell_angle_gamma 90.00
_space_group_name_H-M_alt 'C 1 2/m 1'
_space_group_IT_number 12
_space_group_name_Hall '-C 2y'
loop_
_atom_site_label
_atom_site_fract_x
_atom_site_fract_y
_atom_site_fract_z
Sm1 0.048 0.000 0.180
Sm2 0.096 0.500 0.578
Sm3 0.237 0.000 0.821
Ga1 0.207 0.000 0.430
Ge1 0.107 0.500 0.935
```